A relaxed YTaGa3 crystal, computed with GGA-PBE.

Output
The calculation puts the energy relative to the elements at 0.351 eV/f.u. Its energy above the lowest structure with this stoichiometry is 0 meV per atom.

Cell: 4.9394 4.9394 4.9394 Å, 90.00 90.00 90.00°
Sites, in units of the cell vectors:
Ga  0.5000  0.0000  0.0000
Ga  0.0000  0.0000  0.5000
Ga  0.0000  0.5000  0.0000
Y  0.5000  0.5000  0.5000
Ta  0.0000  0.0000  0.0000